The following is a PBE calculation of a geometry-optimized Pr4CuSeI2 structure, from Alexandria via LeMat-Bulk.

Cell and atoms, written as extended XYZ:
```
8
Lattice="7.5228 0.0000 0.0000 0.0000 4.2230 0.0000 -2.4399 0.0000 7.8530" Properties=species:S:1:pos:R:3 pbc="T T T"
Pr 1.1674 0.0000 1.5478
Pr 0.0306 2.1115 6.2738
Pr 5.0523 2.1115 1.5792
Pr 3.9154 0.0000 6.3053
Cu 0.0000 2.1115 0.0000
Se 3.7614 0.0000 0.0000
I -1.2200 0.0000 3.9265
I 2.5414 2.1115 3.9265
```

- uncorrected energy (eV per atom) = -4.696
- M_tot (μB/cell) = 0.0
- D(E_F) (states/eV per cell) = 4.403
- energy relative to the elements, uncorrected (meV/atom) = -971



The following is a PBE calculation of a geometry-optimized Pr8CuSe3I4 structure, from Alexandria via LeMat-Bulk.

Cell and atoms, written as extended XYZ:
```
16
Lattice="7.4876 -4.3228 0.0000 7.4876 4.3228 0.0000 -4.9915 0.0000 7.7459" Properties=species:S:1:pos:R:3 pbc="T T T"
Pr -0.0919 0.0000 5.3977
Pr 3.7856 2.2312 5.4022
Pr 6.1980 2.2312 2.3437
Pr 2.4937 0.0000 2.3539
Pr 7.4900 0.0000 5.3920
Pr 3.7856 -2.2312 5.4022
Pr 6.1980 -2.2312 2.3437
Pr 10.0755 0.0000 2.3482
Cu -2.4958 0.0000 3.8730
Se 1.2480 2.1614 3.8730
Se 1.2480 -2.1614 3.8730
Se 4.9918 0.0000 3.8730
I 0.0000 0.0000 0.0000
I 3.7438 2.1614 0.0000
I 3.7438 -2.1614 0.0000
I 7.4876 0.0000 0.0000
```

- uncorrected energy (eV per atom) = -4.859
- M_tot (μB/cell) = 0.0
- D(E_F) (states/eV per cell) = 11.977
- energy relative to the elements, uncorrected (meV/atom) = -1172



The following is a PBE calculation of a geometry-optimized Pr4CuSiI2 structure, from Alexandria via LeMat-Bulk.

Cell and atoms, written as extended XYZ:
```
8
Lattice="7.6348 0.0000 0.0000 0.0000 4.2522 0.0000 -2.3627 0.0000 7.7379" Properties=species:S:1:pos:R:3 pbc="T T T"
Pr 1.2733 0.0000 1.5386
Pr 0.1808 2.1261 6.1578
Pr 5.0913 2.1261 1.5801
Pr 3.9988 0.0000 6.1993
Cu 0.0000 2.1261 0.0000
Si 3.8174 0.0000 0.0000
I -1.1813 0.0000 3.8689
I 2.6360 2.1261 3.8689
```

- uncorrected energy (eV per atom) = -4.677
- M_tot (μB/cell) = 0.0
- D(E_F) (states/eV per cell) = 7.202
- energy relative to the elements, uncorrected (meV/atom) = -710



The following is a PBE calculation of a geometry-optimized Pr6CuSi2I3 structure, from Alexandria via LeMat-Bulk.

Cell and atoms, written as extended XYZ:
```
12
Lattice="3.7556 -6.5119 0.0000 3.7556 6.5119 0.0000 -2.5290 0.0000 7.7064" Properties=species:S:1:pos:R:3 pbc="T T T"
Pr -0.0216 2.1804 6.1514
Pr 1.2227 0.0000 1.5805
Pr -0.0216 -2.1804 6.1514
Pr 5.0038 2.1804 1.5550
Pr 3.7595 0.0000 6.1258
Pr 5.0038 -2.1804 1.5550
Cu 3.7556 0.0000 0.0000
Si 3.7556 4.3511 0.0000
Si 3.7556 -4.3511 0.0000
I -1.2645 0.0000 3.8532
I 2.4911 2.2189 3.8532
I 2.4911 -2.2189 3.8532
```

- uncorrected energy (eV per atom) = -4.806
- M_tot (μB/cell) = 0.4
- D(E_F) (states/eV per cell) = 9.297
- energy relative to the elements, uncorrected (meV/atom) = -783



The following is a PBE calculation of a geometry-optimized CuPt3I structure, from Alexandria via LeMat-Bulk.

Cell and atoms, written as extended XYZ:
```
5
Lattice="4.6722 0.0000 0.0000 0.0000 4.6722 0.0000 0.0000 0.0000 4.6722" Properties=species:S:1:pos:R:3 pbc="T T T"
Cu 0.0000 0.0000 0.0000
Pt 0.0000 0.0000 2.3361
Pt 0.0000 2.3361 0.0000
Pt 2.3361 0.0000 0.0000
I 2.3361 2.3361 2.3361
```

- E above lowest polymorph (meV/atom) = 0
- uncorrected energy (eV per atom) = -3.787
- M_tot (μB/cell) = 0.0
- D(E_F) (states/eV per cell) = 5.539
- energy relative to the elements, uncorrected (meV/atom) = 967



The following is a PBE calculation of a geometry-optimized CuPt2I structure, from Alexandria via LeMat-Bulk.

Cell and atoms, written as extended XYZ:
```
4
Lattice="0.0000 3.2712 3.2712 3.2712 0.0000 3.2712 3.2712 3.2712 0.0000" Properties=species:S:1:pos:R:3 pbc="T T T"
Cu 0.0000 0.0000 0.0000
Pt 1.6356 1.6356 1.6356
Pt 4.9069 4.9069 4.9069
I 3.2712 3.2712 3.2712
```

- E above lowest polymorph (meV/atom) = 158
- uncorrected energy (eV per atom) = -3.909
- M_tot (μB/cell) = 0.0
- D(E_F) (states/eV per cell) = 2.589
- energy relative to the elements, uncorrected (meV/atom) = 523



The following is a PBE calculation of a geometry-optimized Cu5Pt3I12 structure, from Alexandria via LeMat-Bulk.

Cell and atoms, written as extended XYZ:
```
80
Lattice="-8.6370 8.6370 8.6370 8.6370 -8.6370 8.6370 8.6370 8.6370 -8.6370" Properties=species:S:1:pos:R:3 pbc="T T T"
Cu 0.0000 0.0000 0.0000
Cu 4.3185 4.3185 -4.3185
Cu 4.3185 -4.3185 4.3185
Cu 8.6370 0.0000 0.0000
Cu 12.9554 2.1592 0.0000
Cu 8.6370 -4.3185 6.4777
Cu 6.4777 8.6370 -4.3185
Cu 6.4777 0.0000 4.3185
Cu 4.3185 6.4777 0.0000
Cu 8.6370 4.3185 2.1592
Cu -4.3185 4.3185 4.3185
Cu 0.0000 8.6370 0.0000
Cu 0.0000 0.0000 8.6370
Cu 4.3185 4.3185 4.3185
Cu 0.0000 4.3185 6.4777
Cu 4.3185 2.1592 8.6370
Cu 2.1592 8.6370 4.3185
Cu 2.1592 0.0000 12.9554
Cu 0.0000 12.9554 2.1592
Cu -4.3185 6.4777 8.6370
Pt 4.3185 2.1592 0.0000
Pt 8.6370 4.3185 -2.1592
Pt 2.1592 0.0000 4.3185
Pt 10.7962 0.0000 4.3185
Pt 0.0000 4.3185 2.1592
Pt 4.3185 -2.1592 8.6370
Pt 4.3185 10.7962 0.0000
Pt 8.6370 4.3185 6.4777
Pt -2.1592 8.6370 4.3185
Pt 6.4777 8.6370 4.3185
Pt 0.0000 4.3185 10.7962
Pt 4.3185 6.4777 8.6370
I 7.0457 -3.7672 4.2073
I 14.5467 -0.1112 0.5513
I 7.0457 4.8697 -4.2073
I 5.9097 0.1112 0.5513
I 8.7482 8.0857 -5.9097
I 4.2073 -1.5912 3.7672
I 3.7672 4.2073 -1.5912
I 9.1882 2.7272 -0.1112
I 4.8697 -4.2073 7.0457
I 8.0857 -5.9097 8.7482
I 4.2073 7.0457 -3.7672
I 8.7482 0.5513 2.7272
I 8.7482 -0.5513 5.9097
I 12.8442 1.5912 3.7672
I 4.8697 4.2073 1.5912
I 8.0857 5.9097 -0.1112
I 0.5513 5.9097 0.1112
I 12.4042 4.4297 1.5912
I 0.1112 0.5513 5.9097
I 4.2073 1.5912 4.8697
I -1.5912 3.7672 4.2073
I 5.9097 -0.1112 8.0857
I 5.9097 8.7482 -0.5513
I 7.0457 3.7672 4.4297
I 1.5912 4.8697 4.2073
I 2.7272 -0.1112 9.1882
I 2.7272 8.7482 0.5513
I 10.2282 4.8697 4.4297
I 4.4297 7.0457 3.7672
I 8.5257 8.0857 2.7272
I -3.7672 4.2073 7.0457
I 8.0857 2.7272 8.5257
I 0.5513 2.7272 8.7482
I 3.7672 4.4297 7.0457
I -4.2073 7.0457 4.8697
I -0.1112 9.1882 2.7272
I -0.1112 8.0857 5.9097
I 4.4297 1.5912 12.4042
I 0.5513 14.5467 -0.1112
I 3.7672 12.8442 1.5912
I -0.5513 5.9097 8.7482
I 4.8697 4.4297 10.2282
I 4.4297 10.2282 4.8697
I -0.1112 0.5513 14.5467
I 2.7272 8.5257 8.0857
I 1.5912 3.7672 12.8442
I -5.9097 8.7482 8.0857
I 1.5912 12.4042 4.4297
```

- uncorrected energy (eV per atom) = -2.743
- M_tot (μB/cell) = 0.0
- D(E_F) (states/eV per cell) = 68.842
- energy relative to the elements, uncorrected (meV/atom) = 118



The following is a PBE calculation of a geometry-optimized Cu3PtI structure, from Alexandria via LeMat-Bulk.

Cell and atoms, written as extended XYZ:
```
5
Lattice="4.7954 0.0000 0.0000 0.0000 4.7954 0.0000 0.0000 0.0000 4.7954" Properties=species:S:1:pos:R:3 pbc="T T T"
Cu 0.0000 0.0000 2.3977
Cu 0.0000 2.3977 0.0000
Cu 2.3977 0.0000 0.0000
Pt 2.3977 2.3977 2.3977
I 0.0000 0.0000 0.0000
```

- E above lowest polymorph (meV/atom) = 582
- uncorrected energy (eV per atom) = -2.736
- M_tot (μB/cell) = 0.0
- D(E_F) (states/eV per cell) = 0.473
- energy relative to the elements, uncorrected (meV/atom) = 1240